*1*
A geometry-optimized Ho2ZrRu structure, computed with PBE.

The space group is R-3m (No. 166, hexagonal axes) and the conventional cell measures 3.2786, 3.2786 and 31.4455 Å, with angles of 90.00, 90.00 and 120.00 degrees. The distinct sites, in fractional coordinates, are Ho at (0.0000, 0.0000, 0.1014), Zr at (0.0000, 0.0000, 0.0000) and Ru at (0.0000, 0.0000, 0.5000).

As for the crystal system: trigonal.


*2*
A geometry-optimized Ho2ZrRu structure, computed with PBE.

The space group is P4/mmm (No. 123) and the conventional cell measures 3.3924, 3.3924 and 8.0656 Å, with angles of 90.00, 90.00 and 90.00 degrees. The distinct sites, in fractional coordinates, are Ho at (0.0000, 0.0000, 0.2055), Zr at (0.5000, 0.5000, 0.5000) and Ru at (0.5000, 0.5000, 0.0000).

As for the crystal system: tetragonal.


The least stable of them is *1*.


*1*
A geometry-optimized HoZrRu structure, computed with PBE.

The space group is I4mm (No. 107) and the conventional cell measures 3.3509, 3.3509 and 11.4901 Å, with angles of 90.00, 90.00 and 90.00 degrees. The distinct sites, in fractional coordinates, are Ho at (0.0000, 0.0000, 0.0000), Zr at (0.0000, 0.0000, 0.2856) and Ru at (0.0000, 0.0000, 0.6586).

As for the crystal system: tetragonal.


*2*
A geometry-optimized HoZrRu structure, computed with PBE.

The space group is R-3m (No. 166, hexagonal axes) and the conventional cell measures 4.5636, 4.5636 and 23.5420 Å, with angles of 90.00, 90.00 and 120.00 degrees. The distinct sites, in fractional coordinates, are Ho at (0.0000, 0.0000, 0.1230), Zr at (0.0000, 0.0000, 0.3728), Ru at (0.0000, 0.0000, 0.0000) and Ru at (0.0000, 0.0000, 0.5000).

As for the crystal system: trigonal.


The least stable of them is *2*.